Compound: OsRuPt2
Source: Alexandria
Functional: GGA-PBEsol
Structure: relaxed

Cell: 2.7082 2.7082 7.7961 Å, 90.00 90.00 90.00°
Closest atoms and distances in Å follow each position.
Atoms (fractional coordinates):
Os 0.5000 0.5000 0.7383  4 Ru 2.61, 4 Os 2.71, 4 Pt 2.75
Pt 0.0000 0.0000 0.9913  8 Pt 2.71-2.83, 4 Os 2.75
Ru 0.0000 0.0000 0.5117  4 Os 2.61, 4 Ru 2.71, 4 Pt 2.75
Pt 0.5000 0.5000 0.2587  8 Pt 2.71-2.83, 4 Ru 2.75

Results
The value obtained for the density of states at the Fermi level is 0.83 states/eV/atom. The calculation puts the total energy at -9.0895 eV/atom. The formation energy comes out at -0.04 eV per formula unit. For the size of the total moment, the calculation gives 0.000 Bohr magnetons per cell.

***

Compound: YTlAs2
Source: Alexandria
Functional: GGA-PBEsol
Structure: relaxed

Cell: 3.8004 4.7875 4.7875 Å, 92.71 90.00 90.00°
Closest atoms and distances in Å follow each position.
Atoms (fractional coordinates):
As 0.0000 0.5000 0.0000  4 Y 3.06, 4 Tl 3.06, 2 As 3.30
Y 0.5000 0.5000 0.5000  8 As 3.06, 2 Tl 3.30
Tl 0.5000 0.0000 0.0000  8 As 3.06, 2 Y 3.30
As 0.0000 0.0000 0.5000  4 Tl 3.06, 4 Y 3.06, 2 As 3.30

Results
The value obtained for the density of states at the Fermi level is 0.51 states/eV/atom. The calculation puts the total energy at -5.4534 eV/atom. The formation energy comes out at -2.15 eV per formula unit. For the size of the total moment, the calculation gives 0.000 Bohr magnetons per cell.

***

Compound: LiAs2HBr
Source: Alexandria
Functional: GGA-PBEsol
Structure: relaxed

Cell: 3.7713 3.7713 7.3644 Å, 90.00 90.00 90.00°
Closest atoms and distances in Å follow each position.
Atoms (fractional coordinates):
As 0.5000 0.0000 0.0000  2 H 1.89
Br 0.0000 0.0000 0.5000  4 Li 2.67
Li 0.5000 0.5000 0.5000  4 Br 2.67
As 0.0000 0.5000 0.0000  2 H 1.89
H 0.0000 0.0000 0.0000  4 As 1.89

Results
The value obtained for the density of states at the Fermi level is 0.47 states/eV/atom. The calculation puts the total energy at -3.5140 eV/atom. For the size of the total moment, the calculation gives 0.000 Bohr magnetons per cell.

***

Compound: KRb2TlBr6
Source: Alexandria
Functional: GGA-PBEsol
Structure: relaxed

Cell: 8.1506 8.1506 8.1506 Å, 60.00 60.00 60.00°
Closest atoms and distances in Å follow each position.
Atoms (fractional coordinates):
Br 0.7637 0.2363 0.7637  1 Tl 2.72, 1 K 3.04
Br 0.7637 0.2363 0.2363  1 Tl 2.72, 1 K 3.04
Tl 0.0000 0.0000 0.0000  6 Br 2.72
Rb 0.2500 0.2500 0.2500  12 Br 4.08
Br 0.7637 0.7637 0.2363  1 Tl 2.72, 1 K 3.04
Rb 0.7500 0.7500 0.7500  12 Br 4.08
Br 0.2363 0.2363 0.7637  1 Tl 2.72, 1 K 3.04
Br 0.2363 0.7637 0.2363  1 Tl 2.72, 1 K 3.04
Br 0.2363 0.7637 0.7637  1 Tl 2.72, 1 K 3.04
K 0.5000 0.5000 0.5000  6 Br 3.04

Results
The value obtained for the density of states at the Fermi level is 0.00 states/eV/atom. The calculation puts the total energy at -2.8921 eV/atom. For the uncorrected formation energy, the calculation gives -1.189 eV/atom. For the size of the total moment, the calculation gives 0.000 Bohr magnetons per cell.

***

Compound: Cu2N2O
Source: Alexandria
Functional: GGA-PBEsol
Structure: relaxed

Cell: 2.7643 2.7643 5.9345 Å, 103.47 103.47 90.00°
Closest atoms and distances in Å follow each position.
Atoms (fractional coordinates):
O 0.0000 0.0000 0.0000  8 Cu 2.30
N 0.2500 0.7500 0.5000  4 N 1.95, 4 Cu 2.11
N 0.7500 0.2500 0.5000  4 N 1.95, 4 Cu 2.11
Cu 0.6080 0.6080 0.2160  4 N 2.11, 4 O 2.30
Cu 0.3920 0.3920 0.7840  4 N 2.11, 4 O 2.30

Results
The value obtained for the density of states at the Fermi level is 0.78 states/eV/atom. The calculation puts the total energy at -5.1001 eV/atom. For the uncorrected formation energy, the calculation gives 1.094 eV/atom. For the size of the total moment, the calculation gives 0.001 Bohr magnetons per cell.

***

Compound: Al2S3
Source: Alexandria
Functional: GGA-PBEsol
Structure: relaxed

Cell: 6.3112 6.3514 6.4084 Å, 119.71 99.18 71.21°
Closest atoms and distances in Å follow each position.
Atoms (fractional coordinates):
Al 0.4989 0.1873 0.1690  4 S 2.18-2.30
S 0.3855 0.2059 0.5026  3 Al 2.29-2.31
Al 0.9989 0.0183 0.8310  4 S 2.18-2.30
S 0.3817 0.8701 0.8408  3 Al 2.30
S 0.8629 0.3787 0.8268  2 Al 2.18-2.19
Al 0.5016 0.8180 0.4935  4 S 2.19-2.31
Al 0.0016 0.3245 0.5065  4 S 2.19-2.31
S 0.3629 0.5519 0.1732  2 Al 2.18-2.19
S 0.8855 0.7033 0.4974  3 Al 2.29-2.31
S 0.8817 0.0294 0.1592  3 Al 2.30

Results
The value obtained for the density of states at the Fermi level is 0.00 states/eV/atom. The calculation puts the total energy at -5.3051 eV/atom. For the uncorrected formation energy, the calculation gives -1.038 eV/atom. For the size of the total moment, the calculation gives 0.000 Bohr magnetons per cell.

***

Compound: Zr2SiSb
Source: Alexandria
Functional: GGA-PBEsol
Structure: relaxed

Cell: 3.4883 3.7546 6.2214 Å, 90.00 101.11 90.00°
Closest atoms and distances in Å follow each position.
Atoms (fractional coordinates):
Si 0.5000 0.5000 0.5000  4 Zr 2.68
Zr 0.0562 0.0000 0.2660  2 Si 2.68, 2 Sb 2.96
Zr 0.9438 0.0000 0.7340  2 Si 2.68, 2 Sb 2.96
Sb 0.5000 0.5000 0.0000  8 Zr 2.96-3.11, 2 Si 3.11

Results
The value obtained for the density of states at the Fermi level is 0.49 states/eV/atom. The calculation puts the total energy at -7.7226 eV/atom. For the uncorrected formation energy, the calculation gives -0.602 eV/atom. For the size of the total moment, the calculation gives 0.000 Bohr magnetons per cell.

***

Compound: Hf2TiP2
Source: Alexandria
Functional: GGA-PBEsol
Structure: relaxed

Cell: 3.5721 6.6410 6.6410 Å, 90.00 90.00 90.00°
Closest atoms and distances in Å follow each position.
Atoms (fractional coordinates):
P 0.0000 0.8619 0.6381  6 Hf 2.57-2.70, 2 Ti 2.57, 1 P 2.59
Hf 0.5000 0.3345 0.1655  6 P 2.57-2.70
P 0.0000 0.6381 0.1381  6 Hf 2.57-2.70, 2 Ti 2.57, 1 P 2.59
Ti 0.0000 0.5000 0.5000  4 P 2.57
Hf 0.5000 0.1655 0.6655  6 P 2.57-2.70
P 0.0000 0.3619 0.8619  6 Hf 2.57-2.70, 2 Ti 2.57, 1 P 2.59
P 0.0000 0.1381 0.3619  6 Hf 2.57-2.70, 2 Ti 2.57, 1 P 2.59
Ti 0.0000 0.0000 0.0000  4 P 2.57
Hf 0.5000 0.8345 0.3345  6 P 2.57-2.70
Hf 0.5000 0.6655 0.8345  6 P 2.57-2.70

Results
The value obtained for the density of states at the Fermi level is 0.29 states/eV/atom. The calculation puts the total energy at -9.3913 eV/atom. The formation energy comes out at -6.05 eV per formula unit. For the size of the total moment, the calculation gives 0.000 Bohr magnetons per cell.

***

Compound: SrIrI2N
Source: Alexandria
Functional: GGA-PBEsol
Structure: relaxed

Cell: 3.7738 5.7048 5.7048 Å, 90.00 90.00 90.00°
Closest atoms and distances in Å follow each position.
Atoms (fractional coordinates):
I 0.0000 0.0000 0.5000  2 Ir 2.85
N 0.5000 0.0000 0.0000  2 Ir 1.89
Ir 0.0000 0.0000 0.0000  2 N 1.89
I 0.0000 0.5000 0.0000  2 Ir 2.85
Sr 0.5000 0.5000 0.5000  8 I 3.42, 2 Sr 3.77

Results
The value obtained for the density of states at the Fermi level is 0.36 states/eV/atom. The calculation puts the total energy at -5.0892 eV/atom. For the uncorrected formation energy, the calculation gives -0.344 eV/atom. For the size of the total moment, the calculation gives 0.000 Bohr magnetons per cell.

***

Compound: Mn2ReTeF
Source: Alexandria
Functional: GGA-PBEsol
Structure: relaxed

Cell: 3.9500 3.9500 4.9657 Å, 90.00 90.00 90.00°
Closest atoms and distances in Å follow each position.
Atoms (fractional coordinates):
Re 0.5000 0.5000 0.5000  4 Te 2.79
Mn 0.0000 0.5000 0.0000  2 F 1.97
F 0.0000 0.0000 0.0000  4 Mn 1.97
Mn 0.5000 0.0000 0.0000  2 F 1.97
Te 0.0000 0.0000 0.5000  2 F 2.48

Results
The value obtained for the density of states at the Fermi level is 0.98 states/eV/atom. The calculation puts the total energy at -7.1110 eV/atom. For the uncorrected formation energy, the calculation gives 0.551 eV/atom. For the size of the total moment, the calculation gives 7.245 Bohr magnetons per cell.

***

Compound: Sr2Cu2Pt
Source: Alexandria
Functional: GGA-PBEsol
Structure: relaxed

Cell: 3.5172 3.5172 9.2302 Å, 100.98 100.98 90.00°
Closest atoms and distances in Å follow each position.
Atoms (fractional coordinates):
Sr 0.3971 0.3971 0.7943  4 Pt 3.09, 4 Cu 3.15
Sr 0.6029 0.6029 0.2057  4 Pt 3.09, 4 Cu 3.15
Cu 0.7500 0.2500 0.5000  4 Cu 2.49
Pt 0.0000 0.0000 0.0000  8 Sr 3.09
Cu 0.2500 0.7500 0.5000  4 Cu 2.49

Results
The value obtained for the density of states at the Fermi level is 0.35 states/eV/atom. The calculation puts the total energy at -4.0262 eV/atom. The formation energy comes out at -0.82 eV per formula unit. For the size of the total moment, the calculation gives 0.000 Bohr magnetons per cell.

***

Compound: Sc2CuPd
Source: Alexandria
Functional: GGA-PBEsol
Structure: relaxed

Cell: 4.5822 4.5822 4.5822 Å, 60.00 60.00 60.00°
Closest atoms and distances in Å follow each position.
Atoms (fractional coordinates):
Sc 0.2500 0.2500 0.2500  4 Cu 2.81, 4 Pd 2.81
Pd 0.0000 0.0000 0.0000  8 Sc 2.81
Cu 0.5000 0.5000 0.5000  8 Sc 2.81
Sc 0.7500 0.7500 0.7500  4 Cu 2.81, 4 Pd 2.81

Results
The value obtained for the density of states at the Fermi level is 0.68 states/eV/atom. The calculation puts the total energy at -6.4524 eV/atom. The formation energy comes out at -2.31 eV per formula unit. For the size of the total moment, the calculation gives 0.000 Bohr magnetons per cell.

***

Compound: Tm2MgRu
Source: Alexandria
Functional: GGA-PBEsol
Structure: relaxed

Cell: 4.8796 4.8796 4.8796 Å, 60.00 60.00 60.00°
Closest atoms and distances in Å follow each position.
Atoms (fractional coordinates):
Mg 0.5000 0.5000 0.5000  8 Tm 2.99
Tm 0.2500 0.2500 0.2500  4 Ru 2.99, 4 Mg 2.99
Tm 0.7500 0.7500 0.7500  4 Mg 2.99, 4 Ru 2.99
Ru 0.0000 0.0000 0.0000  8 Tm 2.99

Results
The value obtained for the density of states at the Fermi level is 0.61 states/eV/atom. The calculation puts the total energy at -5.6249 eV/atom. The formation energy comes out at -0.81 eV per formula unit. For the size of the total moment, the calculation gives 0.000 Bohr magnetons per cell.

***

Compound: La2Ti3CuO10
Source: Alexandria
Functional: GGA-PBEsol
Structure: relaxed

Cell: 3.8222 3.8222 13.0942 Å, 98.39 98.39 90.00°
Closest atoms and distances in Å follow each position.
Atoms (fractional coordinates):
Ti 0.9131 0.4131 0.8262  5 O 1.81-1.97
O 0.6748 0.1748 0.3496  1 Ti 1.93
O 0.2509 0.2509 0.5018  2 Ti 1.91
Ti 0.5869 0.0869 0.1738  5 O 1.81-1.97
La 0.3332 0.8332 0.6665  8 O 2.48-2.71
Cu 0.5000 0.5000 0.0000  4 O 1.96
O 0.3977 0.3977 0.7954  2 Ti 1.95
La 0.1668 0.6668 0.3335  8 O 2.48-2.71
O 0.9836 0.4836 0.9672  1 Ti 1.81, 2 Cu 1.96
Ti 0.7500 0.2500 0.5000  6 O 1.91-1.93
O 0.8950 0.8950 0.7901  2 Ti 1.97
O 0.1050 0.1050 0.2099  2 Ti 1.97
O 0.8252 0.3252 0.6504  1 Ti 1.93
O 0.7491 0.7491 0.4982  2 Ti 1.91
O 0.6023 0.6023 0.2046  2 Ti 1.95
O 0.5164 0.0164 0.0328  1 Ti 1.81, 2 Cu 1.96

Results
The value obtained for the density of states at the Fermi level is 0.13 states/eV/atom. The calculation puts the total energy at -8.6902 eV/atom. For the uncorrected formation energy, the calculation gives -2.910 eV/atom. For the size of the total moment, the calculation gives 0.001 Bohr magnetons per cell.

***

Compound: CsN3Cl
Source: Alexandria
Functional: GGA-PBEsol
Structure: relaxed

Cell: 4.3670 4.3670 4.3670 Å, 90.00 90.00 90.00°
Closest atoms and distances in Å follow each position.
Atoms (fractional coordinates):
Cl 0.0000 0.0000 0.0000  6 N 2.18
N 0.0000 0.5000 0.0000  2 Cl 2.18
N 0.5000 0.0000 0.0000  2 Cl 2.18
N 0.0000 0.0000 0.5000  2 Cl 2.18
Cs 0.5000 0.5000 0.5000  12 N 3.09

Results
The value obtained for the density of states at the Fermi level is 0.94 states/eV/atom. The calculation puts the total energy at -3.3750 eV/atom. For the uncorrected formation energy, the calculation gives 2.331 eV/atom. For the size of the total moment, the calculation gives 4.500 Bohr magnetons per cell.

***

Compound: KAgRh
Source: Alexandria
Functional: GGA-PBEsol
Structure: relaxed

Cell: 2.8326 2.8326 7.5712 Å, 100.78 100.78 90.00°
Closest atoms and distances in Å follow each position.
Atoms (fractional coordinates):
K 0.3255 0.3255 0.6511  4 K 2.83
Ag 0.0216 0.0216 0.0433  4 Rh 2.77, 4 Ag 2.83
Rh 0.6528 0.6528 0.3057  4 Ag 2.77, 4 Rh 2.83

Results
The value obtained for the density of states at the Fermi level is 0.94 states/eV/atom. The calculation puts the total energy at -3.5884 eV/atom. The formation energy comes out at 1.82 eV per formula unit. For the size of the total moment, the calculation gives 0.435 Bohr magnetons per cell.

***

Compound: Sr2LaMnSe
Source: Alexandria
Functional: GGA-PBEsol
Structure: relaxed

Cell: 4.6917 5.6202 5.6202 Å, 90.00 90.00 90.00°
Closest atoms and distances in Å follow each position.
Atoms (fractional coordinates):
Sr 0.0000 0.5000 0.0000  2 Mn 2.81
La 0.5000 0.0000 0.0000  2 Mn 2.35
Sr 0.0000 0.0000 0.5000  2 Mn 2.81
Se 0.5000 0.5000 0.5000  8 Sr 3.66, 4 La 3.97
Mn 0.0000 0.0000 0.0000  2 La 2.35

Results
The value obtained for the density of states at the Fermi level is 0.68 states/eV/atom. The calculation puts the total energy at -4.5578 eV/atom. For the uncorrected formation energy, the calculation gives -0.030 eV/atom. For the size of the total moment, the calculation gives 0.490 Bohr magnetons per cell.

***

Compound: NaZn2Cd2
Source: Alexandria
Functional: GGA-PBEsol
Structure: relaxed

Cell: 3.8955 3.8955 7.2760 Å, 105.53 105.53 90.00°
Closest atoms and distances in Å follow each position.
Atoms (fractional coordinates):
Cd 0.6047 0.6047 0.2095  4 Zn 2.76, 1 Cd 2.82
Zn 0.7500 0.2500 0.5000  4 Zn 2.75, 4 Cd 2.76
Na 0.0000 0.0000 0.0000  8 Cd 3.09
Cd 0.3953 0.3953 0.7905  4 Zn 2.76, 1 Cd 2.82
Zn 0.2500 0.7500 0.5000  4 Zn 2.75, 4 Cd 2.76

Results
The value obtained for the density of states at the Fermi level is 0.35 states/eV/atom. The calculation puts the total energy at -1.3394 eV/atom. The formation energy comes out at 0.26 eV per formula unit. For the size of the total moment, the calculation gives 0.000 Bohr magnetons per cell.

***

Compound: MgAgMo2
Source: Alexandria
Functional: GGA-PBEsol
Structure: relaxed

Cell: 2.6520 2.6520 9.1698 Å, 90.00 90.00 95.36°
Closest atoms and distances in Å follow each position.
Atoms (fractional coordinates):
Mo 0.0000 0.0000 0.2521  4 Mo 2.65, 2 Ag 2.89, 2 Mg 2.92
Ag 0.5000 0.5000 0.5000  4 Ag 2.65, 4 Mo 2.89
Mo 0.0000 0.0000 0.7479  4 Mo 2.65, 2 Ag 2.89, 2 Mg 2.92
Mg 0.5000 0.5000 0.0000  4 Mg 2.65, 4 Mo 2.92

Results
The value obtained for the density of states at the Fermi level is 0.58 states/eV/atom. The calculation puts the total energy at -6.7014 eV/atom. The formation energy comes out at 1.76 eV per formula unit. For the size of the total moment, the calculation gives 0.000 Bohr magnetons per cell.

***

Compound: CrSiPb2
Source: Alexandria
Functional: GGA-PBEsol
Structure: relaxed

Cell: 4.1741 3.9138 5.5627 Å, 90.00 112.04 90.00°
Closest atoms and distances in Å follow each position.
Atoms (fractional coordinates):
Cr 0.5575 0.5000 0.1150  2 Si 2.41
Si 0.6932 0.0000 0.3865  2 Cr 2.41
Pb 0.2726 0.5000 0.5452  3 Cr 2.94-3.05, 4 Si 2.98
Pb 0.9766 0.0000 0.9533  3 Si 2.92-3.06, 4 Cr 2.98

Results
The value obtained for the density of states at the Fermi level is 0.65 states/eV/atom. The calculation puts the total energy at -5.6064 eV/atom. For the uncorrected formation energy, the calculation gives 0.390 eV/atom. For the size of the total moment, the calculation gives 2.610 Bohr magnetons per cell.